Entry 1:
! Dy4CoRu3 | the Alexandria database | PBE | relaxed; values from VASP
! - Symmetry: P4/mmm (123)
! - N(E_F): 7.8 states/eV per cell
! - Calculated total energy: -6.956 eV/atom
! - Formation enthalpy at 0 K: -0.29 eV/atom
&SYSTEM
  ibrav = 0, nat = 8, ntyp = 3
/
ATOMIC_SPECIES
Ru 101.07 Ru.upf
Co 58.93 Co.upf
Dy 162.50 Dy.upf
CELL_PARAMETERS angstrom
3.397 0.000 0.000
0.000 3.397 0.000
0.000 0.000 13.452
ATOMIC_POSITIONS angstrom
Ru 1.699 1.699 3.299
Ru 1.699 1.699 6.726
Ru 1.699 1.699 10.153
Co 1.699 1.699 0.000
Dy 0.000 0.000 11.794
Dy 0.000 0.000 1.658
Dy 0.000 0.000 5.031
Dy 0.000 0.000 8.421

Entry 2:
! RbCoHg3 | the Alexandria database | PBE | relaxed; values from VASP
! - Symmetry: Pm-3m (221)
! - N(E_F): 1.2 states/eV per cell
! - Calculated total energy: -0.856 eV/atom
! - Formation enthalpy at 0 K: 0.94 eV/atom
&SYSTEM
  ibrav = 0, nat = 5, ntyp = 3
/
ATOMIC_SPECIES
Co 58.93 Co.upf
Hg 200.59 Hg.upf
Rb 85.47 Rb.upf
CELL_PARAMETERS angstrom
-4.462 -2.027 4.680
3.222 -5.941 0.498
3.954 2.553 4.876
ATOMIC_POSITIONS angstrom
Co 1.357 -2.708 5.027
Hg 1.611 -2.971 0.249
Hg 1.977 1.276 2.438
Hg -2.231 -1.014 2.340
Rb 0.000 0.000 0.000

Entry 3:
! HoHfSbO6 | the Alexandria database | PBE | relaxed; values from VASP
! - Symmetry: P-31c (163)
! - N(E_F): 0.0 states/eV per cell
! - Calculated total energy: -8.113 eV/atom
&SYSTEM
  ibrav = 0, nat = 18, ntyp = 4
/
ATOMIC_SPECIES
Ho 164.93 Ho.upf
Hf 178.49 Hf.upf
Sb 121.76 Sb.upf
O 16.00 O.upf
CELL_PARAMETERS angstrom
-3.368 -3.756 1.838
1.406 0.041 -5.182
7.519 -5.765 1.994
ATOMIC_POSITIONS angstrom
Ho 0.000 0.000 0.000
Ho 3.759 -2.882 0.997
Hf 1.694 -2.666 -2.343
Hf 3.862 -6.814 0.994
Sb 0.103 -3.932 -0.003
Sb 5.454 -5.548 -1.347
O -0.269 -3.207 -1.847
O -1.814 -4.485 0.283
O 5.000 -4.937 -3.214
O 7.371 -4.995 -1.633
O 2.012 -3.434 -0.419
O 0.305 -5.783 -0.775
O 5.727 -7.343 -2.224
O 0.556 -4.543 1.864
O 5.252 -3.696 -0.575
O -0.171 -2.137 0.874
O 3.545 -6.046 -0.931
O 5.826 -6.273 0.498

Entry 4:
! FeNi2Ir2 | the Alexandria database | PBE | relaxed; values from VASP
! - Symmetry: C2/c (15)
! - N(E_F): 14.5 states/eV per cell
! - Calculated total energy: -7.262 eV/atom
! - Formation enthalpy at 0 K: 0.29 eV/atom
&SYSTEM
  ibrav = 0, nat = 10, ntyp = 3
/
ATOMIC_SPECIES
Fe 55.84 Fe.upf
Ni 58.69 Ni.upf
Ir 192.22 Ir.upf
CELL_PARAMETERS angstrom
3.862 0.590 -1.810
-0.734 6.238 -3.108
-0.064 -1.300 6.347
ATOMIC_POSITIONS angstrom
Fe 1.188 0.461 0.124
Fe 1.876 5.067 1.306
Ni 1.974 1.569 2.163
Ni -0.432 4.241 1.234
Ni 3.496 1.287 0.196
Ni 1.089 3.958 -0.733
Ir 3.139 2.692 -1.832
Ir 2.370 5.064 -2.825
Ir 0.694 0.464 4.255
Ir -0.075 2.835 3.262

Entry 5:
! MnFe2SnH | the Alexandria database | PBE | relaxed; values from VASP
! - Symmetry: P4/mmm (123)
! - N(E_F): 3.0 states/eV per cell
! - Calculated total energy: -6.680 eV/atom
&SYSTEM
  ibrav = 0, nat = 5, ntyp = 4
/
ATOMIC_SPECIES
H 1.01 H.upf
Mn 54.94 Mn.upf
Sn 118.71 Sn.upf
Fe 55.84 Fe.upf
CELL_PARAMETERS angstrom
3.866 0.000 0.000
0.000 3.866 0.000
0.000 0.000 3.797
ATOMIC_POSITIONS angstrom
H 0.000 0.000 0.000
Mn 0.000 0.000 1.899
Sn 1.933 1.933 1.899
Fe 0.000 1.933 0.000
Fe 1.933 0.000 0.000

Entry 6:
! Th4FeSi3 | the Alexandria database | PBE | relaxed; values from VASP
! - Symmetry: Pmm2 (25)
! - N(E_F): 9.4 states/eV per cell
! - Calculated total energy: -7.323 eV/atom
&SYSTEM
  ibrav = 0, nat = 8, ntyp = 3
/
ATOMIC_SPECIES
Th 232.04 Th.upf
Fe 55.84 Fe.upf
Si 28.09 Si.upf
CELL_PARAMETERS angstrom
-2.425 -2.008 -2.872
-1.595 -2.276 2.938
-7.876 7.413 1.466
ATOMIC_POSITIONS angstrom
Th -4.776 0.462 0.548
Th -7.591 5.257 2.733
Th -1.098 1.034 0.204
Th -6.271 3.756 -0.495
Fe -2.527 -1.655 0.129
Si -5.318 3.117 2.310
Si -3.369 3.171 0.627
Si -8.595 5.944 -0.062

Entry 7:
! ZrSbPdC2 | the Alexandria database | PBE | relaxed; values from VASP
! - Symmetry: P4/mmm (123)
! - N(E_F): 3.5 states/eV per cell
! - Calculated total energy: -5.654 eV/atom
&SYSTEM
  ibrav = 0, nat = 5, ntyp = 4
/
ATOMIC_SPECIES
Sb 121.76 Sb.upf
C 12.01 C.upf
Zr 91.22 Zr.upf
Pd 106.42 Pd.upf
CELL_PARAMETERS angstrom
-2.883 -0.716 2.995
4.172 -1.957 3.549
0.571 3.907 1.483
ATOMIC_POSITIONS angstrom
Sb 2.086 -0.979 1.775
C 0.285 1.954 0.742
C -1.442 -0.358 1.497
Zr 0.000 0.000 0.000
Pd 0.930 0.617 4.014

Entry 8:
! ScZnAg2 | the Alexandria database | PBE | relaxed; values from VASP
! - Symmetry: I-4m2 (119)
! - N(E_F): 2.2 states/eV per cell
! - Calculated total energy: -3.530 eV/atom
! - Formation enthalpy at 0 K: -0.20 eV/atom
&SYSTEM
  ibrav = 0, nat = 4, ntyp = 3
/
ATOMIC_SPECIES
Sc 44.96 Sc.upf
Zn 65.41 Zn.upf
Ag 107.87 Ag.upf
CELL_PARAMETERS angstrom
4.922 -0.004 -0.014
1.138 4.788 0.014
-3.020 -2.405 3.053
ATOMIC_POSITIONS angstrom
Sc 3.030 2.392 0.000
Zn 0.573 2.388 1.533
Ag 0.001 0.000 0.000
Ag 2.466 -0.008 1.520

Entry 9:
! Cd2FeNiB | the Alexandria database | PBE | relaxed; values from VASP
! - Symmetry: P4/mmm (123)
! - N(E_F): 3.1 states/eV per cell
! - Calculated total energy: -3.731 eV/atom
! - Formation enthalpy at 0 K: 0.82 eV/atom
&SYSTEM
  ibrav = 0, nat = 5, ntyp = 4
/
ATOMIC_SPECIES
Ni 58.69 Ni.upf
B 10.81 B.upf
Fe 55.84 Fe.upf
Cd 112.41 Cd.upf
CELL_PARAMETERS angstrom
4.916 0.000 0.000
0.000 3.692 0.000
0.000 0.000 4.916
ATOMIC_POSITIONS angstrom
Ni 0.000 0.000 0.000
B 0.000 1.846 0.000
Fe 2.458 1.846 2.458
Cd 0.000 0.000 2.458
Cd 2.458 0.000 0.000

Entry 10:
! Al22Mo5 | the Alexandria database | PBE | relaxed; values from VASP
! - Symmetry: Fdd2 (43)
! - N(E_F): 9.4 states/eV per cell
! - Calculated total energy: -5.319 eV/atom
! - Formation enthalpy at 0 K: -0.26 eV/atom
&SYSTEM
  ibrav = 0, nat = 54, ntyp = 2
/
ATOMIC_SPECIES
Al 26.98 Al.upf
Mo 95.94 Mo.upf
CELL_PARAMETERS angstrom
-4.420 2.105 -0.668
-1.972 0.128 -4.823
-14.185 -33.628 6.175
ATOMIC_POSITIONS angstrom
Al -15.109 -21.788 1.531
Al -12.317 -21.539 1.195
Al -9.349 -15.067 2.399
Al -6.671 -2.698 -3.715
Al -15.815 -30.892 3.871
Al -12.637 -17.111 -1.145
Al -6.848 -10.529 -0.298
Al -10.981 -12.836 1.369
Al -8.046 -12.755 1.052
Al -5.593 -0.107 -3.314
Al -9.643 -14.550 -0.236
Al -4.174 -7.945 1.001
Al -15.391 -21.063 -1.153
Al -5.906 -5.639 0.657
Al -9.332 -18.947 2.044
Al -10.915 -16.854 0.922
Al -4.469 -1.006 -1.012
Al -9.662 -10.665 0.113
Al -8.254 -8.281 -1.269
Al -15.246 -25.482 -0.061
Al -16.786 -23.268 -0.375
Al -9.707 -17.052 -1.485
Al -16.654 -31.678 1.326
Al -18.553 -31.209 3.307
Al -14.389 -26.540 2.375
Al -5.204 -10.323 1.833
Al -5.632 -3.619 -1.275
Al -1.694 -0.778 -0.305
Al -11.246 -12.448 -1.361
Al -16.245 -25.923 4.236
Al -18.318 -29.337 1.361
Al -2.712 0.142 -2.728
Al -10.570 -21.269 3.195
Al -5.351 -8.260 -1.343
Al -13.803 -19.355 0.134
Al -17.089 -26.755 1.633
Al -3.923 -2.540 -3.180
Al -17.346 -28.526 3.758
Al -5.130 -5.092 -3.673
Al -11.012 -19.363 -0.139
Al -13.399 -24.005 2.303
Al -3.996 -5.899 -1.360
Al -9.941 -10.157 -2.502
Al -14.585 -28.374 4.296
Mo -16.096 -24.259 2.143
Mo -8.426 -12.392 -1.592
Mo -15.537 -29.135 1.837
Mo -6.878 -8.172 0.972
Mo -6.815 -6.025 -1.813
Mo -8.079 -16.750 0.676
Mo -13.823 -23.164 -0.308
Mo -2.837 -3.309 -0.820
Mo -12.158 -19.000 2.274
Mo -3.316 1.579 -0.501

Entry 11:
! ThTiSb2 | the Alexandria database | PBE | relaxed; values from VASP
! - Symmetry: R-3m (166)
! - N(E_F): 3.7 states/eV per cell
! - Calculated total energy: -6.478 eV/atom
&SYSTEM
  ibrav = 0, nat = 4, ntyp = 3
/
ATOMIC_SPECIES
Sb 121.76 Sb.upf
Th 232.04 Th.upf
Ti 47.87 Ti.upf
CELL_PARAMETERS angstrom
-0.841 3.689 -1.980
-2.417 2.951 1.920
4.472 4.965 2.747
ATOMIC_POSITIONS angstrom
Sb 0.082 2.792 0.561
Sb 1.132 8.814 2.126
Th 0.607 5.803 1.344
Ti 0.000 0.000 0.000

Entry 12:
! YBe3 | the Alexandria database | PBE | relaxed; values from VASP
! - Symmetry: Pmm2 (25)
! - N(E_F): 2.0 states/eV per cell
! - Calculated total energy: -4.098 eV/atom
! - Formation enthalpy at 0 K: 0.31 eV/atom
&SYSTEM
  ibrav = 0, nat = 4, ntyp = 2
/
ATOMIC_SPECIES
Y 88.91 Y.upf
Be 9.01 Be.upf
CELL_PARAMETERS angstrom
3.052 0.000 0.000
0.000 3.622 0.000
0.000 0.000 5.407
ATOMIC_POSITIONS angstrom
Y 0.000 1.811 1.919
Be 0.000 0.000 4.720
Be 1.526 0.000 3.298
Be 1.526 1.811 4.480

Q: Among the records above, which one has the highest N(E_F)?
A: FeNi2Ir2

Q: Look up the calculated total energy of the fifth one.
A: -6.680 eV/atom

Q: The highest calculated total energy belongs to which entry?
A: RbCoHg3